A relaxed structure of Nd2CrFeN5, computed with PBE.

## Properties
Raw formation energy, meV per atom: -673
SG: No. 36
Density, g cm⁻³: 6.95
Total energy, eV/atom: -8.3675
Crystal system: orthorhombic

Unit cell a=7.171 b=7.171 c=9.661 alpha=90.00 beta=90.00 gamma=153.34
Fractional positions:
Nd: 0.129 0.871 0.500
Nd: 0.131 0.869 0.130
Nd: 0.869 0.131 0.630
Nd: 0.871 0.129 0.000
Cr: 0.428 0.572 0.277
Cr: 0.572 0.428 0.777
Fe: 0.206 0.794 0.841
Fe: 0.794 0.206 0.341
N: 0.055 0.945 0.863
N: 0.298 0.702 0.466
N: 0.309 0.691 0.204
N: 0.341 0.659 0.825
N: 0.491 0.509 0.128
N: 0.509 0.491 0.628
N: 0.659 0.341 0.325
N: 0.691 0.309 0.704
N: 0.702 0.298 0.966
N: 0.945 0.055 0.363